The following is a DFT calculation (PBE-GGA) of a relaxed structure of TbZrSbO6.

Lattice parameters (Å, degrees): 5.424 5.424 9.766 90.00 90.00 120.00
Positions (direct):
O 0.653 0.016 0.363
Zr 0.667 0.333 0.750
O 0.653 0.637 0.137
Sb 0.333 0.667 0.750
O 0.363 0.347 0.363
Tb 0.000 0.000 0.500
O 0.363 0.016 0.137
O 0.347 0.984 0.637
O 0.016 0.363 0.637
O 0.984 0.347 0.137
O 0.637 0.984 0.863
O 0.984 0.637 0.363
O 0.347 0.363 0.863
Zr 0.333 0.667 0.250
Sb 0.667 0.333 0.250
Tb 0.000 0.000 0.000
O 0.016 0.653 0.863
O 0.637 0.653 0.637

Calculated values
The calculation puts the total energy at -141.75 eV/cell. The formation energy (no corrections) is -23.83 eV per formula unit. The space group is No. 163.

The following is a DFT calculation (PBE-GGA) of a relaxed structure of TcSbO3.

Lattice parameters (Å, degrees): 4.121 4.121 4.121 90.00 90.00 90.00
Each line ends with the local moment (μB).
Positions (direct):
Sb 0.000 0.000 0.000  0.00
O 0.000 0.000 0.500  0.10
O 0.500 0.000 0.000  0.10
O 0.000 0.500 0.000  0.10
Tc 0.500 0.500 0.500  4.02

Calculated values
The calculation puts the total energy at -30.73 eV/cell. The formation energy (no corrections) is -1.37 eV per formula unit. The space group is No. 221.

The following is a DFT calculation (PBE-GGA) of a relaxed structure of TcSbO3.

Lattice parameters (Å, degrees): 3.956 3.956 3.956 90.00 90.00 90.00
Each line ends with the local moment (μB).
Positions (direct):
O 0.000 0.000 0.500  0.01
Tc 0.000 0.000 0.000  0.98
O 0.000 0.500 0.000  0.03
O 0.500 0.000 0.000  0.11
Sb 0.500 0.500 0.500  0.09

Calculated values
The calculation puts the total energy at -33.02 eV/cell. The formation energy (no corrections) is -3.65 eV per formula unit. The space group is No. 221.

The following is a DFT calculation (PBE-GGA) of a relaxed structure of TcSb3O.

Lattice parameters (Å, degrees): 5.073 5.073 5.073 90.00 90.00 90.00
Positions (direct):
Sb 0.000 0.000 0.500
Sb 0.500 0.000 0.000
O 0.500 0.500 0.500
Tc 0.000 0.000 0.000
Sb 0.000 0.500 0.000

Calculated values
The calculation puts the total energy at -24.21 eV/cell. The formation energy (no corrections) is 3.48 eV per formula unit. The space group is No. 221.

The following is a DFT calculation (PBE-GGA) of a relaxed structure of Tc2Sb2O.

Lattice parameters (Å, degrees): 5.507 5.507 4.995 56.55 56.55 90.00
Each line ends with the local moment (μB).
Positions (direct):
Tc 0.683 0.683 0.634  0.29
O 0.000 0.000 0.000  -0.02
Sb 0.250 0.750 0.500  0.00
Sb 0.750 0.250 0.500  0.00
Tc 0.317 0.317 0.366  0.29

Calculated values
The calculation puts the total energy at -33.33 eV/cell. The formation energy (no corrections) is 0.61 eV per formula unit. The space group is No. 139.

The following is a DFT calculation (PBE-GGA) of a relaxed structure of TcSbO5.

Lattice parameters (Å, degrees): 3.696 5.451 5.451 73.71 70.19 70.19
Positions (direct):
O 0.767 0.233 0.233
O 0.233 0.767 0.767
O 0.000 0.691 0.309
O 0.500 0.000 0.000
Sb 0.500 0.500 0.500
Tc 0.000 0.000 0.000
O 0.000 0.309 0.691

Calculated values
The calculation puts the total energy at -47.44 eV/cell. The formation energy (no corrections) is -8.16 eV per formula unit. The space group is No. 71.

The following is a DFT calculation (PBE-GGA) of a relaxed structure of TcSb3O.

Lattice parameters (Å, degrees): 4.673 4.673 4.673 90.00 90.00 90.00
Each line ends with the local moment (μB).
Positions (direct):
O 0.000 0.000 0.000  -0.02
Sb 0.000 0.000 0.500  -0.03
Sb 0.000 0.500 0.000  -0.06
Sb 0.500 0.000 0.000  -0.03
Tc 0.500 0.500 0.500  2.12

Calculated values
The calculation puts the total energy at -25.95 eV/cell. The formation energy (no corrections) is 1.75 eV per formula unit. The space group is No. 221.

The following is a DFT calculation (PBE-GGA) of a relaxed structure of TcSb2O8.

Lattice parameters (Å, degrees): 7.273 5.481 5.481 120.63 103.93 103.93
Each line ends with the local moment (μB).
Positions (direct):
Tc 0.500 0.000 0.000  1.24
Sb 0.000 0.679 0.321  0.01
O 0.838 0.532 0.881  -0.05
O 0.500 0.816 0.184  -0.17
O 0.162 0.119 0.468  -0.05
O 0.500 0.184 0.816  -0.17
O 0.162 0.468 0.119  -0.05
O 0.810 0.277 0.277  0.01
O 0.838 0.881 0.532  -0.05
Sb 0.000 0.321 0.679  0.01
O 0.190 0.723 0.723  0.01

Calculated values
The calculation puts the total energy at -67.74 eV/cell. The formation energy (no corrections) is -9.47 eV per formula unit. The space group is No. 12.